[1]
This record from Alexandria via LeMat-Bulk describes an optimized crystal structure of LiTl2. The functional is PBE.

Lattice parameters (Å, degrees): 3.5147 3.5147 15.6210 77.67 77.67 120.02
Last column: nearest neighbours and their distance in Å.
Sites, in units of the cell vectors:
1 Tl 0.9798 0.6450 0.5932  3 Li 2.97-3.03, 2 Tl 3.28-3.33
2 Tl 0.0202 0.3550 0.4068  3 Li 2.97-3.03, 2 Tl 3.28-3.33
3 Tl 0.3550 0.0202 0.9068  3 Li 2.97-3.03, 2 Tl 3.28-3.33
4 Tl 0.6450 0.9798 0.0932  3 Li 2.97-3.03, 2 Tl 3.28-3.33
5 Li 0.6659 0.3341 0.2500  6 Tl 2.97-3.03
6 Li 0.3341 0.6659 0.7500  6 Tl 2.97-3.03

Computed properties:
Formation energy = -0.298 eV per formula unit
Density = 9.14 g/cm3

[2]
This record from Alexandria via LeMat-Bulk describes an optimized crystal structure of Na3SbH2. The functional is PBE.

Lattice parameters (Å, degrees): 3.9818 5.6894 12.9774 105.23 81.18 69.52
Last column: nearest neighbours and their distance in Å.
Sites, in units of the cell vectors:
1 H 0.6665 0.4678 0.1993  2 Sb 1.99
2 H 0.1954 0.1688 0.4405  1 Na 2.19
3 H 0.8046 0.8312 0.5595  1 Na 2.19
4 H 0.3335 0.5322 0.8007  2 Sb 1.99
5 Sb 0.8237 0.5437 0.8088  2 H 1.99
6 Sb 0.1763 0.4563 0.1912  2 H 1.99
7 Na 0.4188 0.7433 0.4190  1 H 2.19
8 Na 0.5726 0.7797 0.0751  1 H 2.67
9 Na 0.7947 0.1062 0.3044  3 H 2.59-2.70
10 Na 0.2053 0.8938 0.6956  3 H 2.59-2.70
11 Na 0.5812 0.2567 0.5810  1 H 2.19
12 Na 0.4274 0.2203 0.9249  1 H 2.67

Computed properties:
Density = 2.50 g/cm3
Final energy = -2.57 eV per atom

[3]
This record from Alexandria via LeMat-Bulk describes an optimized crystal structure of ThGaIrN. The functional is PBE.

Lattice parameters (Å, degrees): 4.1165 4.1165 8.2198 90.00 90.00 90.00
Last column: nearest neighbours and their distance in Å.
Sites, in units of the cell vectors:
1 Ga 0.0000 0.5000 0.3376  1 N 1.95
2 Ga 0.5000 0.0000 0.6624  1 N 1.95
3 Th 0.5000 0.0000 0.1710  1 N 2.23
4 Th 0.0000 0.5000 0.8290  1 N 2.23
5 N 0.0000 0.5000 0.1004  1 Ga 1.95
6 N 0.5000 0.0000 0.8996  1 Ga 1.95
7 Ir 0.0000 0.0000 0.5000  4 Ga 2.45
8 Ir 0.5000 0.5000 0.5000  4 Ga 2.45

Computed properties:
Density = 12.11 g/cm3
E_form (uncorrected) = -823 meV per atom

[4]
This record from Alexandria via LeMat-Bulk describes an optimized crystal structure of ZnCdAgGe. The functional is PBE.

Lattice parameters (Å, degrees): 4.7628 4.7628 4.7628 60.00 60.00 60.00
Last column: nearest neighbours and their distance in Å.
Sites, in units of the cell vectors:
1 Zn 0.5000 0.5000 0.5000  4 Ag 2.92, 4 Ge 2.92
2 Ag 0.2500 0.2500 0.2500  4 Cd 2.92, 4 Zn 2.92
3 Ge 0.7500 0.7500 0.7500  4 Zn 2.92, 4 Cd 2.92
4 Cd 0.0000 0.0000 0.0000  4 Ge 2.92, 4 Ag 2.92

Computed properties:
Formation energy = 0.758 eV per formula unit
Density = 7.79 g/cm3

[5]
This record from Alexandria via LeMat-Bulk describes an optimized crystal structure of YHfCr2Se. The functional is PBE.

Lattice parameters (Å, degrees): 4.8782 5.0730 4.8782 90.00 90.00 90.00
Last column: nearest neighbours and their distance in Å.
Sites, in units of the cell vectors:
1 Cr 0.5000 0.0000 0.0000  2 Hf 2.44
2 Cr 0.0000 0.0000 0.5000  2 Hf 2.44
3 Y 0.5000 0.5000 0.5000  4 Se 3.45, 8 Cr 3.52
4 Se 0.0000 0.5000 0.0000  2 Hf 2.54
5 Hf 0.0000 0.0000 0.0000  4 Cr 2.44, 2 Se 2.54

Computed properties:
Density = 6.19 g/cm3
E_form (uncorrected) = 650 meV per atom

[6]
This record from Alexandria via LeMat-Bulk describes an optimized crystal structure of Ca8In2Au. The functional is PBE.

Lattice parameters (Å, degrees): 5.3518 8.9926 9.0169 119.91 107.26 90.00
Last column: nearest neighbours and their distance in Å.
Sites, in units of the cell vectors:
1 Ca 0.6554 0.8746 0.3109  3 In 3.33-3.38, 1 Au 3.40, 5 Ca 3.54-3.71
2 Ca 0.0000 0.6780 0.0000  7 Ca 3.20-3.54, 2 In 3.30
3 Ca 0.1309 0.1309 0.2618  2 Au 3.29, 2 Ca 3.48, 2 In 3.69
4 Ca 0.3446 0.5637 0.6891  3 In 3.33-3.38, 1 Au 3.40, 5 Ca 3.54-3.71
5 Ca 0.6554 0.4363 0.3109  3 In 3.33-3.38, 1 Au 3.40, 5 Ca 3.54-3.71
6 Ca 0.3446 0.1254 0.6891  3 In 3.33-3.38, 1 Au 3.40, 5 Ca 3.54-3.71
7 Ca 0.0000 0.3220 0.0000  7 Ca 3.20-3.54, 2 In 3.30
8 Ca 0.8691 0.8691 0.7382  2 Au 3.29, 2 Ca 3.48, 2 In 3.69
9 In 0.1964 0.6964 0.3927  10 Ca 3.30-3.69
10 In 0.8036 0.3036 0.6073  10 Ca 3.30-3.69
11 Au 0.5000 0.0000 0.0000  8 Ca 3.29-3.40

Computed properties:
Formation energy = -3.214 eV per formula unit
Density = 3.51 g/cm3

[7]
This record from Alexandria via LeMat-Bulk describes an optimized crystal structure of La4MnZn. The functional is PBE.

Lattice parameters (Å, degrees): 6.4487 6.4487 6.4487 60.00 60.00 60.00
Last column: nearest neighbours and their distance in Å.
Sites, in units of the cell vectors:
1 La 0.3753 0.3753 0.8741  6 La 3.22-3.23
2 La 0.3753 0.3753 0.3753  6 La 3.22-3.23
3 La 0.8741 0.3753 0.3753  6 La 3.22-3.23
4 La 0.3753 0.8741 0.3753  6 La 3.22-3.23
5 Zn 0.0000 0.0000 0.0000  12 La 3.78, 4 Mn 3.95
6 Mn 0.7500 0.7500 0.7500  12 La 3.78, 4 Zn 3.95

Computed properties:
Formation energy = 3.587 eV per formula unit
Density = 5.92 g/cm3

[8]
This record from Alexandria via LeMat-Bulk describes an optimized crystal structure of TcF3. The functional is PBE.

Lattice parameters (Å, degrees): 3.8683 3.8683 7.5140 75.08 75.08 90.00
Last column: nearest neighbours and their distance in Å.
Sites, in units of the cell vectors:
1 F 0.0332 0.6250 0.2500  2 Tc 2.09, 2 F 2.29
2 F 0.5000 0.5000 0.0000  4 F 2.40
3 F 0.3750 0.2832 0.7500  2 Tc 2.09, 2 F 2.29
4 F 0.2500 0.7500 0.5000  4 F 2.40
5 F 0.8750 0.9668 0.7500  2 Tc 2.09, 2 F 2.29
6 F 0.7168 0.1250 0.2500  2 Tc 2.09, 2 F 2.29
7 Tc 0.0000 0.0000 0.0000  4 F 2.09
8 Tc 0.7500 0.2500 0.5000  4 F 2.09

Computed properties:
Density = 4.92 g/cm3
E_form (uncorrected) = -1020 meV per atom

What is the density in the third record? 12.11 g/cm3

density of number 7 (La4MnZn)? 5.92 g/cm3

Repeat the fifth record exactly.
This record from Alexandria via LeMat-Bulk describes an optimized crystal structure of YHfCr2Se. The functional is PBE.

Lattice parameters (Å, degrees): 4.8782 5.0730 4.8782 90.00 90.00 90.00
Last column: nearest neighbours and their distance in Å.
Sites, in units of the cell vectors:
1 Cr 0.5000 0.0000 0.0000  2 Hf 2.44
2 Cr 0.0000 0.0000 0.5000  2 Hf 2.44
3 Y 0.5000 0.5000 0.5000  4 Se 3.45, 8 Cr 3.52
4 Se 0.0000 0.5000 0.0000  2 Hf 2.54
5 Hf 0.0000 0.0000 0.0000  4 Cr 2.44, 2 Se 2.54

Computed properties:
Density = 6.19 g/cm3
E_form (uncorrected) = 650 meV per atom

What is the formula in the third record? ThGaIrN